A) PrYIn2Ni4 | PBE | optimized geometry

Cell: 4.0579 5.1829 7.1268 Å, 90.00 90.00 90.00°
Fractional positions:
Pr1 0.0000 0.0000 0.0000
Y1 0.0000 0.5000 0.5451
In1 0.5000 0.0000 0.6193
In2 0.5000 0.5000 0.9238
Ni1 0.0000 0.0000 0.3855
Ni2 0.0000 0.5000 0.1688
Ni3 0.5000 0.2550 0.2796
Ni4 0.5000 0.7450 0.2796

The calculation puts the magnetization at 0.001 μB/cell. Its space group is No. 25. The density is 7.7 g/cm³.


B) PrYIn2Ni4 | PBE | optimized geometry

Cell: 4.4256 4.4256 8.8031 Å, 90.00 90.00 120.00°
Fractional positions:
Pr1 0.0000 0.0000 0.0000
Y1 0.3333 0.6667 0.5000
In1 0.6667 0.3333 0.2607
In2 0.6667 0.3333 0.7393
Ni1 0.0000 0.0000 0.3361
Ni2 0.0000 0.0000 0.6639
Ni3 0.3333 0.6667 0.1836
Ni4 0.3333 0.6667 0.8164

The calculation puts the magnetization at 0.003 μB/cell. Its space group is No. 187. The density is 7.7 g/cm³.


Least stable = B)


A) TaInNiPt | PBE | optimized geometry

Cell: 6.3680 6.3680 6.3680 Å, 90.00 90.00 90.00°
Fractional positions:
Ta1 0.0000 0.0000 0.0000
Ta2 0.0000 0.5000 0.5000
Ta3 0.5000 0.0000 0.5000
Ta4 0.5000 0.5000 0.0000
In1 0.0000 0.0000 0.5000
In2 0.0000 0.5000 0.0000
In3 0.5000 0.0000 0.0000
In4 0.5000 0.5000 0.5000
Ni1 0.2500 0.2500 0.7500
Ni2 0.2500 0.7500 0.2500
Ni3 0.7500 0.2500 0.2500
Ni4 0.7500 0.7500 0.7500
Pt1 0.2500 0.2500 0.2500
Pt2 0.2500 0.7500 0.7500
Pt3 0.7500 0.2500 0.7500
Pt4 0.7500 0.7500 0.2500

The calculation puts the magnetization at 0.002 μB/cell. Its space group is No. 216. The density is 14.1 g/cm³.


B) TaInNiPt | PBE | optimized geometry

Cell: 6.3844 6.3844 6.3844 Å, 90.00 90.00 90.00°
Fractional positions:
Ta1 0.0000 0.0000 0.0000
Ta2 0.0000 0.5000 0.5000
Ta3 0.5000 0.0000 0.5000
Ta4 0.5000 0.5000 0.0000
In1 0.2500 0.2500 0.2500
In2 0.2500 0.7500 0.7500
In3 0.7500 0.2500 0.7500
In4 0.7500 0.7500 0.2500
Ni1 0.0000 0.0000 0.5000
Ni2 0.0000 0.5000 0.0000
Ni3 0.5000 0.0000 0.0000
Ni4 0.5000 0.5000 0.5000
Pt1 0.2500 0.2500 0.7500
Pt2 0.2500 0.7500 0.2500
Pt3 0.7500 0.2500 0.2500
Pt4 0.7500 0.7500 0.7500

The calculation puts the magnetization at 0.011 μB/cell. Its space group is No. 216. The density is 14.0 g/cm³.


Least stable = B)


A) ScInNiTe3 | PBE | optimized geometry

Cell: 12.5119 3.9943 12.1089 Å, 90.00 90.00 90.00°
Fractional positions:
Sc1 0.0332 0.2500 0.1887
Sc2 0.4668 0.7500 0.6887
Sc3 0.5332 0.2500 0.3113
Sc4 0.9668 0.7500 0.8113
In1 0.1936 0.2500 0.4889
In2 0.3064 0.7500 0.9889
In3 0.6936 0.2500 0.0111
In4 0.8064 0.7500 0.5111
Ni1 0.2207 0.7500 0.3391
Ni2 0.2793 0.2500 0.8391
Ni3 0.7207 0.7500 0.1609
Ni4 0.7793 0.2500 0.6609
Te1 0.0193 0.7500 0.3607
Te2 0.0976 0.2500 0.9377
Te3 0.2346 0.7500 0.7057
Te4 0.2654 0.2500 0.2057
Te5 0.4024 0.7500 0.4377
Te6 0.4807 0.2500 0.8607
Te7 0.5193 0.7500 0.1393
Te8 0.5976 0.2500 0.5623
Te9 0.7346 0.7500 0.7943
Te10 0.7654 0.2500 0.2943
Te11 0.9024 0.7500 0.0623
Te12 0.9807 0.2500 0.6393

The calculation puts the magnetization at 0.005 μB/cell. Its space group is No. 62. The density is 6.6 g/cm³.


B) ScInNiTe3 | PBE | optimized geometry

Cell: 7.8067 7.8067 10.5365 Å, 90.00 90.00 150.54°
Fractional positions:
Sc1 0.0000 0.0000 0.0000
Sc2 0.0000 0.0000 0.5000
In1 0.2448 0.7552 0.7500
In2 0.7552 0.2448 0.2500
Ni1 0.4742 0.5258 0.2500
Ni2 0.5258 0.4742 0.7500
Te1 0.0800 0.9200 0.2500
Te2 0.3646 0.6354 0.0654
Te3 0.3646 0.6354 0.4346
Te4 0.6354 0.3646 0.5654
Te5 0.6354 0.3646 0.9346
Te6 0.9200 0.0800 0.7500

The calculation puts the magnetization at 0.001 μB/cell. Its space group is No. 63. The density is 6.3 g/cm³.


Least stable = A)


A) ScZnInNi | PBE | optimized geometry

Cell: 6.4286 6.4286 6.4286 Å, 90.00 90.00 90.00°
Fractional positions:
Sc1 0.0000 0.0000 0.0000
Sc2 0.0000 0.5000 0.5000
Sc3 0.5000 0.0000 0.5000
Sc4 0.5000 0.5000 0.0000
Zn1 0.2500 0.2500 0.2500
Zn2 0.2500 0.7500 0.7500
Zn3 0.7500 0.2500 0.7500
Zn4 0.7500 0.7500 0.2500
In1 0.0000 0.0000 0.5000
In2 0.0000 0.5000 0.0000
In3 0.5000 0.0000 0.0000
In4 0.5000 0.5000 0.5000
Ni1 0.2500 0.2500 0.7500
Ni2 0.2500 0.7500 0.2500
Ni3 0.7500 0.2500 0.2500
Ni4 0.7500 0.7500 0.7500

The calculation puts the magnetization at 0.008 μB/cell. Its space group is No. 216. The density is 7.1 g/cm³.


B) ScZnInNi | PBE | optimized geometry

Cell: 6.4378 6.4378 6.4378 Å, 90.00 90.00 90.00°
Fractional positions:
Sc1 0.0000 0.0000 0.0000
Sc2 0.0000 0.5000 0.5000
Sc3 0.5000 0.0000 0.5000
Sc4 0.5000 0.5000 0.0000
Zn1 0.2500 0.2500 0.2500
Zn2 0.2500 0.7500 0.7500
Zn3 0.7500 0.2500 0.7500
Zn4 0.7500 0.7500 0.2500
In1 0.2500 0.2500 0.7500
In2 0.2500 0.7500 0.2500
In3 0.7500 0.2500 0.2500
In4 0.7500 0.7500 0.7500
Ni1 0.0000 0.0000 0.5000
Ni2 0.0000 0.5000 0.0000
Ni3 0.5000 0.0000 0.0000
Ni4 0.5000 0.5000 0.5000

The calculation puts the magnetization at 0.004 μB/cell. Its space group is No. 216. The density is 7.1 g/cm³.


C) ScZnInNi | PBE | optimized geometry

Cell: 6.4741 6.4741 6.4741 Å, 90.00 90.00 90.00°
Fractional positions:
Sc1 0.0000 0.0000 0.0000
Sc2 0.0000 0.5000 0.5000
Sc3 0.5000 0.0000 0.5000
Sc4 0.5000 0.5000 0.0000
Zn1 0.0000 0.0000 0.5000
Zn2 0.0000 0.5000 0.0000
Zn3 0.5000 0.0000 0.0000
Zn4 0.5000 0.5000 0.5000
In1 0.2500 0.2500 0.2500
In2 0.2500 0.7500 0.7500
In3 0.7500 0.2500 0.7500
In4 0.7500 0.7500 0.2500
Ni1 0.2500 0.2500 0.7500
Ni2 0.2500 0.7500 0.2500
Ni3 0.7500 0.2500 0.2500
Ni4 0.7500 0.7500 0.7500

The calculation puts the magnetization at 0.005 μB/cell. Its space group is No. 216. The density is 6.9 g/cm³.


Least stable = C)


A) TbYIn2Ni4 | PBE | optimized geometry

Cell: 3.9983 5.0896 6.9934 Å, 90.00 90.00 90.00°
Fractional positions:
Tb1 0.0000 0.0000 0.0000
Y1 0.0000 0.5000 0.5399
In1 0.5000 0.0000 0.6210
In2 0.5000 0.5000 0.9159
Ni1 0.0000 0.0000 0.3796
Ni2 0.0000 0.5000 0.1575
Ni3 0.5000 0.2505 0.2688
Ni4 0.5000 0.7495 0.2688

The calculation puts the magnetization at 0.002 μB/cell. Its space group is No. 25. The density is 8.3 g/cm³.


B) TbYIn2Ni4 | PBE | optimized geometry

Cell: 4.4207 4.4207 8.4970 Å, 90.00 90.00 120.00°
Fractional positions:
Tb1 0.0000 0.0000 0.0000
Y1 0.3333 0.6667 0.5000
In1 0.6667 0.3333 0.2506
In2 0.6667 0.3333 0.7494
Ni1 0.0000 0.0000 0.3346
Ni2 0.0000 0.0000 0.6654
Ni3 0.3333 0.6667 0.1644
Ni4 0.3333 0.6667 0.8356

The calculation puts the magnetization at 0.004 μB/cell. Its space group is No. 187. The density is 8.2 g/cm³.


Least stable = B)


A) YInNiTe3 | PBE | optimized geometry

Cell: 12.6836 4.0958 12.3658 Å, 90.00 90.00 90.00°
Fractional positions:
Y1 0.0345 0.2500 0.1927
Y2 0.4655 0.7500 0.6927
Y3 0.5345 0.2500 0.3073
Y4 0.9655 0.7500 0.8073
In1 0.1970 0.2500 0.4862
In2 0.3030 0.7500 0.9862
In3 0.6970 0.2500 0.0138
In4 0.8030 0.7500 0.5138
Ni1 0.2235 0.7500 0.3338
Ni2 0.2765 0.2500 0.8338
Ni3 0.7235 0.7500 0.1662
Ni4 0.7765 0.2500 0.6662
Te1 0.0249 0.7500 0.3708
Te2 0.1017 0.2500 0.9397
Te3 0.2222 0.7500 0.7101
Te4 0.2778 0.2500 0.2101
Te5 0.3983 0.7500 0.4397
Te6 0.4751 0.2500 0.8708
Te7 0.5249 0.7500 0.1292
Te8 0.6017 0.2500 0.5603
Te9 0.7222 0.7500 0.7899
Te10 0.7778 0.2500 0.2899
Te11 0.8983 0.7500 0.0603
Te12 0.9751 0.2500 0.6292

The calculation puts the magnetization at 0.012 μB/cell. Its space group is No. 62. The density is 6.7 g/cm³.


B) YInNiTe3 | PBE | optimized geometry

Cell: 7.8420 7.8420 11.0728 Å, 90.00 90.00 149.99°
Fractional positions:
Y1 0.0000 0.0000 0.0000
Y2 0.0000 0.0000 0.5000
In1 0.2470 0.7530 0.7500
In2 0.7530 0.2470 0.2500
Ni1 0.4746 0.5254 0.2500
Ni2 0.5254 0.4746 0.7500
Te1 0.0805 0.9195 0.2500
Te2 0.3602 0.6398 0.0769
Te3 0.3602 0.6398 0.4231
Te4 0.6398 0.3602 0.5769
Te5 0.6398 0.3602 0.9231
Te6 0.9195 0.0805 0.7500

The calculation puts the magnetization at 0.000 μB/cell. Its space group is No. 63. The density is 6.3 g/cm³.


Least stable = A)